(1)
{
  "formula": "Th4CoGe8",
  "functional": "PBE-GGA",
  "state": "optimized geometry",
  "crystal_system": "orthorhombic",
  "space_group": "Pmm2 (25)",
  "lattice_angstrom": [[4.1133, 0.0000, 0.0000], [0.0000, 4.1775, 0.0000], [0.0000, 0.0000, 16.7596]],
  "species": ["Ge", "Ge", "Ge", "Ge", "Ge", "Ge", "Ge", "Ge", "Th", "Th", "Th", "Th", "Co"],
  "frac_coords": [[0.0000, 0.0000, 0.7499], [0.5000, 0.0000, 0.2438], [0.0000, 0.5000, 0.2447], [0.5000, 0.0000, 0.5484], [0.5000, 0.5000, 0.7498], [0.5000, 0.5000, 0.0481], [0.0000, 0.0000, 0.4531], [0.0000, 0.5000, 0.9496], [0.5000, 0.0000, 0.8924], [0.5000, 0.5000, 0.3928], [0.0000, 0.5000, 0.6075], [0.0000, 0.0000, 0.1091], [0.0000, 0.0000, 0.3137]]
}


(2)
{
  "formula": "ThCoGe",
  "functional": "PBE-GGA",
  "state": "optimized geometry",
  "crystal_system": "cubic",
  "space_group": "F-43m (216)",
  "lattice_angstrom": [[-3.4690, 2.3990, 1.4264], [-3.8687, -0.1554, -2.1984], [-3.5158, -2.0355, 1.8221]],
  "species": ["Th", "Ge", "Co"],
  "frac_coords": [[0.5000, 0.5000, 0.5000], [0.0000, 0.0000, 0.0000], [0.2500, 0.2500, 0.2500]]
}


(3)
{
  "formula": "Th5Co2Ge5",
  "functional": "PBE-GGA",
  "state": "optimized geometry",
  "crystal_system": "monoclinic",
  "space_group": "C2/m (12)",
  "lattice_angstrom": [[-4.0998, 0.0568, -0.3380], [-2.2450, -7.5143, 0.9297], [-2.7560, 0.8739, 8.5374]],
  "species": ["Co", "Co", "Th", "Th", "Th", "Th", "Th", "Ge", "Ge", "Ge", "Ge", "Ge"],
  "frac_coords": [[0.6221, 0.5250, 0.2309], [0.3779, 0.4750, 0.7691], [0.6216, 0.0726, 0.6842], [0.3784, 0.9274, 0.3158], [0.6954, 0.6906, 0.9186], [0.3046, 0.3094, 0.0814], [0.0000, 0.5000, 0.5000], [0.0632, 0.6862, 0.1874], [0.9368, 0.3138, 0.8126], [0.2998, 0.7635, 0.6369], [0.7002, 0.2365, 0.3631], [0.0000, 0.0000, 0.0000]]
}


So what do the calculations give for V? Going down the list: 288, 62, 275 Å³ per cell.
So what do the calculations give for DFT formation energy? Going down the list: -14.814, -11.785, -15.296 kcal/mol of atoms.